AcLaY2S4: relaxed, PBE-GGA.

## Properties
For the uncorrected energy, the calculation gives -54.76 eV/cell.

Structure (CIF):
```
data_AcLaY2S4
_symmetry_space_group_name_H-M 'P 1 2/m 1'
_symmetry_Int_Tables_number 10
_cell_length_a 6.969
_cell_length_b 4.001
_cell_length_c 7.236
_cell_angle_alpha 90.00
_cell_angle_beta 108.59
_cell_angle_gamma 90.00
loop_
_symmetry_equiv_pos_as_xyz
'x,y,z'
'-x,-y,-z'
'-x,y,-z'
'x,-y,z'
loop_
_atom_site_label
_atom_site_type_symbol
_atom_site_fract_x
_atom_site_fract_y
_atom_site_fract_z
Ac1 Ac 0.000 0.000 0.000
La1 La 0.500 0.500 0.000
Y1 Y 0.000 0.500 0.500
Y2 Y 0.500 0.000 0.500
S1 S 0.245 0.000 0.726
S2 S 0.263 0.500 0.277
```